# Pr2NdUAs4

A relaxed structure of Pr2NdUAs4 (PBE, the Alexandria database).

a b c (Å): 7.3452 4.2223 7.3455
angles (deg): 90.00 109.11 90.00
Closest atoms and distances in Å follow each position.
Sites, in units of the cell vectors:
Pr (0.0000, 0.0000, 0.0000)  6 As 3.00-3.01
Pr (0.0000, 0.5000, 0.5000)  6 As 3.07-3.09
Nd (0.5000, 0.0000, 0.5000)  6 As 2.98-2.99
U (0.5000, 0.5000, 0.0000)  6 As 2.89-2.93
As (0.2596, 0.5000, 0.2433)  1 U 2.89, 2 Nd 2.99, 3 Pr 3.01-3.09
As (0.2621, 0.0000, 0.7606)  2 U 2.93, 1 Nd 2.98, 3 Pr 3.00-3.07
As (0.7379, 0.0000, 0.2394)  2 U 2.93, 1 Nd 2.98, 3 Pr 3.00-3.07
As (0.7404, 0.5000, 0.7567)  1 U 2.89, 2 Nd 2.99, 3 Pr 3.01-3.09

D(E_F) ... 8.584 states/eV/cell
Space group ... P2/m
DFT formation energy ... -10.43 eV/f.u.

# BaTl2AgHg

A relaxed structure of BaTl2AgHg (PBE, the Alexandria database).

a b c (Å): 5.5567 5.5567 5.4605
angles (deg): 90.00 90.00 90.00
Closest atoms and distances in Å follow each position.
Sites, in units of the cell vectors:
Ba (0.0000, 0.0000, 0.0000)  8 Tl 3.90, 4 Hg 3.93
Tl (0.0000, 0.5000, 0.5000)  2 Ag 2.78
Tl (0.5000, 0.0000, 0.5000)  2 Ag 2.78
Ag (0.5000, 0.5000, 0.5000)  2 Hg 2.73, 4 Tl 2.78
Hg (0.5000, 0.5000, 0.0000)  2 Ag 2.73

D(E_F) ... 3.945 states/eV/cell
Space group ... P4/mmm
DFT formation energy ... -0.37 eV/f.u.